Record 1
MgTa2Se: optimized geometry, PBE.

formation energy (no corrections)	0.00	eV/atom
excess energy over the best structure of this formula in the dataset	0.014	eV per atom
volume	78.65	Å³/cell
symmetry	No. 99

a = 3.3682 Å, b = 3.3682 Å, c = 6.9324 Å
α = 90.00°, β = 90.00°, γ = 90.00°
With the nearest neighbours (Å) after each atom.
Fractional coordinates of all 4 atoms:
Mg  0.0000  0.0000  0.0000  5 Ta 3.02-3.38, 4 Se 3.23, 4 Mg 3.37
Ta  0.0000  0.0000  0.5128  4 Se 2.75, 4 Ta 2.82
Ta  0.5000  0.5000  0.7319  4 Ta 2.82, 1 Se 2.89, 4 Mg 3.02
Se  0.5000  0.5000  0.3144  5 Ta 2.75-2.89

***

Record 2
SrTiC2: optimized geometry, PBE.

excess energy over the best structure of this formula in the dataset	0.000	eV per atom
E_form	0.5157	eV per atom
volume	151.04	Å³/cell
symmetry	No. 122

a = 6.9740 Å, b = 6.9740 Å, c = 6.9740 Å
α = 137.85°, β = 137.85°, γ = 61.13°
With the nearest neighbours (Å) after each atom.
Fractional coordinates of all 8 atoms:
Sr  0.0000  0.0000  0.0000  4 C 2.81
Sr  0.7500  0.2500  0.5000  4 C 2.81
Ti  0.2500  0.7500  0.5000  4 C 2.02
Ti  0.5000  0.5000  0.0000  4 C 2.02
C  0.2782  0.6250  0.1532  2 Ti 2.02
C  0.3750  0.5282  0.6532  2 Ti 2.02
C  0.4718  0.1250  0.8468  2 Ti 2.02
C  0.8750  0.7218  0.3468  2 Ti 2.02

***

Record 3
Ac3POs: optimized geometry, PBE.

E_form	0.0008	eV per atom
volume	184.38	Å³/cell
symmetry	No. 221

a = 5.6917 Å, b = 5.6917 Å, c = 5.6917 Å
α = 90.00°, β = 90.00°, γ = 90.00°
With the nearest neighbours (Å) after each atom.
Fractional coordinates of all 5 atoms:
Ac  0.0000  0.0000  0.5000  2 Os 2.85
Ac  0.0000  0.5000  0.0000  2 Os 2.85
Ac  0.5000  0.0000  0.0000  2 Os 2.85
P  0.5000  0.5000  0.5000  12 Ac 4.02
Os  0.0000  0.0000  0.0000  6 Ac 2.85

***

Record 4
Tb2PuTc: optimized geometry, PBE.

excess energy over the best structure of this formula in the dataset	0.000	eV per atom
E_form	-0.0756	eV per atom
volume	425.98	Å³/cell
symmetry	No. 62

a = 7.1582 Å, b = 9.4833 Å, c = 6.2752 Å
α = 90.00°, β = 90.00°, γ = 90.00°
With the nearest neighbours (Å) after each atom.
Fractional coordinates of all 16 atoms:
Tb  0.1765  0.0648  0.1721  3 Tc 3.04-3.18
Tb  0.1765  0.4352  0.1721  3 Tc 3.04-3.18
Tb  0.3235  0.5648  0.6721  3 Tc 3.04-3.18
Tb  0.3235  0.9352  0.6721  3 Tc 3.04-3.18
Tb  0.6765  0.0648  0.3279  3 Tc 3.04-3.18
Tb  0.6765  0.4352  0.3279  3 Tc 3.04-3.18
Tb  0.8235  0.5648  0.8279  3 Tc 3.04-3.18
Tb  0.8235  0.9352  0.8279  3 Tc 3.04-3.18
Pu  0.0476  0.2500  0.6541  2 Tc 2.46-2.50
Pu  0.4524  0.7500  0.1541  2 Tc 2.46-2.50
Pu  0.5476  0.2500  0.8459  2 Tc 2.46-2.50
Pu  0.9524  0.7500  0.3459  2 Tc 2.46-2.50
Tc  0.1339  0.7500  0.0050  2 Pu 2.46-2.50
Tc  0.3661  0.2500  0.5050  2 Pu 2.46-2.50
Tc  0.6339  0.7500  0.4950  2 Pu 2.46-2.50
Tc  0.8661  0.2500  0.9950  2 Pu 2.46-2.50